(1)
Zr4HN2: optimized geometry, GGA-PBE.

N(E_F) in states/eV/atom: 0.67
Calculated total energy in eV/atom: -8.870
Space-group type: C2/m (12)
Total moment in μB per atom: 0.000

Unit cell a=3.292 b=5.698 c=6.227 alpha=117.15 beta=105.32 gamma=90.00
Fractional coordinates of all 7 atoms:
Zr 0.871 0.204 0.741
Zr 0.129 0.796 0.259
Zr 0.628 0.296 0.256
Zr 0.372 0.704 0.744
H 0.000 0.000 0.000
N 0.749 0.749 0.497
N 0.251 0.251 0.503

(2)
Zr6HN5: optimized geometry, GGA-PBE.

N(E_F) in states/eV/atom: 0.41
Calculated total energy in eV/atom: -9.505
Space-group type: C2/m (12)
Total moment in μB per atom: 0.000

Unit cell a=5.659 b=5.655 c=5.653 alpha=59.99 beta=80.35 gamma=70.43
Fractional coordinates of all 12 atoms:
Zr 0.747 0.083 0.344
Zr 0.253 0.573 0.344
Zr 0.255 0.257 0.000
Zr 0.745 0.743 0.000
Zr 0.747 0.427 0.656
Zr 0.253 0.917 0.656
H 0.000 0.000 0.000
N 0.500 0.166 0.669
N 0.000 0.335 0.330
N 0.500 0.500 0.000
N 0.000 0.665 0.670
N 0.500 0.834 0.331

(3)
Zr8HN6: optimized geometry, GGA-PBE.

N(E_F) in states/eV/atom: 0.60
Calculated total energy in eV/atom: -9.205
Space-group type: P-3 (147)
Total moment in μB per atom: 0.000

Unit cell a=3.287 b=8.739 c=8.739 alpha=120.00 beta=90.00 gamma=90.00
Fractional coordinates of all 15 atoms:
Zr 0.747 0.965 0.319
Zr 0.747 0.681 0.646
Zr 0.747 0.354 0.035
Zr 0.253 0.035 0.681
Zr 0.253 0.319 0.354
Zr 0.253 0.646 0.965
Zr 0.751 0.333 0.667
Zr 0.249 0.667 0.333
H 0.500 0.000 0.000
N 0.751 0.656 0.139
N 0.751 0.861 0.516
N 0.751 0.484 0.344
N 0.249 0.344 0.861
N 0.249 0.139 0.484
N 0.249 0.516 0.656

(4)
Zr2HN: optimized geometry, GGA-PBE.

N(E_F) in states/eV/atom: 0.49
Calculated total energy in eV/atom: -8.243
Space-group type: Pmn2_1 (31)
Total moment in μB per atom: 0.000

Unit cell a=3.253 b=4.646 c=6.504 alpha=90.00 beta=90.00 gamma=90.00
Fractional coordinates of all 8 atoms:
Zr 0.267 0.701 0.220
Zr 0.267 0.701 0.737
Zr 0.767 0.201 0.479
Zr 0.767 0.201 0.996
H 0.266 0.201 0.736
H 0.766 0.701 0.480
N 0.267 0.201 0.232
N 0.767 0.701 0.984

(5)
ZrH2N: optimized geometry, GGA-PBE.

N(E_F) in states/eV/atom: 0.13
Calculated total energy in eV/atom: -6.173
Space-group type: I4_1/amd (141)
Relative energy among the computed polymorphs in kcal/mol of atoms: 0.000
Total moment in μB per atom: 0.000

Unit cell a=3.094 b=3.094 c=8.779 alpha=79.85 beta=79.85 gamma=90.00
Fractional coordinates of all 8 atoms:
H 0.875 0.125 0.250
H 0.875 0.625 0.250
H 0.375 0.125 0.750
H 0.875 0.125 0.750
Zr 0.000 0.000 0.000
Zr 0.750 0.250 0.500
N 0.500 0.500 0.000
N 0.250 0.750 0.500

(6)
Zr4H5N: optimized geometry, GGA-PBE.

N(E_F) in states/eV/atom: 0.29
Calculated total energy in eV/atom: -6.643
Space-group type: C2/m (12)
Relative energy among the computed polymorphs in kcal/mol of atoms: 0.000
Total moment in μB per atom: 0.000

Unit cell a=3.232 b=5.257 c=6.455 alpha=88.99 beta=104.50 gamma=90.00
Fractional coordinates of all 10 atoms:
Zr 0.328 0.248 0.656
Zr 0.062 0.248 0.124
Zr 0.672 0.752 0.344
Zr 0.938 0.752 0.876
H 0.810 0.510 0.621
H 0.807 0.997 0.615
H 0.193 0.003 0.385
H 0.500 0.500 0.000
H 0.190 0.490 0.379
N 0.500 0.000 0.000

> Which of these has the lowest calculated total energy?

Zr6HN5

> Among the records above, which one has the highest calculated total energy?

ZrH2N